No. 1
This record from Alexandria describes a geometry-optimized Na2RuF6 structure. The functional is GGA-PBE.

Results
VASP energy: -4.841 eV per atom
Raw formation energy: -2270 meV/atom

Structure (extended XYZ):
```
18
Lattice="5.090 0.000 0.000 0.000 5.090 0.000 0.000 0.000 10.166" Properties=species:S:1:pos:R:3 pbc="T T T"
Na 2.545 2.545 3.398
Na 2.545 2.545 6.767
Na 0.000 0.000 1.684
Na 0.000 0.000 8.481
Ru 2.545 2.545 0.000
Ru 0.000 0.000 5.083
F 3.482 3.482 1.456
F 3.482 3.482 8.710
F 3.722 3.722 5.083
F 3.914 1.177 0.000
F 4.153 0.937 3.627
F 4.153 0.937 6.539
F 0.937 4.153 3.627
F 0.937 4.153 6.539
F 1.177 3.914 0.000
F 1.368 1.368 5.083
F 1.608 1.608 1.456
F 1.608 1.608 8.710
```

=====

No. 2
This record from Alexandria describes a geometry-optimized Fe4RuAu structure. The functional is GGA-PBE.

Results
VASP energy: -7.559 eV per atom

Structure (extended XYZ):
```
6
Lattice="0.000 3.379 3.379 3.379 0.000 3.379 3.379 3.379 0.000" Properties=species:S:1:pos:R:3 pbc="T T T"
Fe 4.221 2.537 4.221
Fe 2.537 4.221 4.221
Fe 4.221 4.221 2.537
Fe 2.537 2.537 2.537
Ru 5.069 5.069 5.069
Au 0.000 0.000 0.000
```